Record 1
YMn2Cl, optimized geometry, DFT PBE; energy above the most stable polymorph in this dataset = 1.65 eV/f.u.; magnetization = 7.8 μB/cell; formation energy from raw total energies = 15.38 kJ per mole of atoms; D(E_F) = 4.24 states/eV per cell
1.0
5.5966 -0.0084 0.0004
1.9702 5.2383 -0.0004
-2.9731 -3.7873 2.8528
Cl Mn Y
1 2 1
direct
0.7698 0.2698 0.5000
0.9841 0.9841 0.0000
0.2267 0.7267 0.5000
0.5195 0.5195 0.0000


Record 2
YMn2Cl, optimized geometry, DFT PBE; energy above the most stable polymorph in this dataset = 1.51 eV/f.u.; magnetization = 7.8 μB/cell; formation energy from raw total energies = 12.01 kJ per mole of atoms; D(E_F) = 2.61 states/eV per cell
1.0
3.2439 0.0000 0.0000
0.0000 3.2439 0.0000
0.0000 0.0000 8.0624
Cl Mn Y
1 2 1
direct
0.5000 0.5000 0.7500
0.0000 0.0000 0.9844
0.0000 0.0000 0.5156
0.5000 0.5000 0.2500


Record 3
Y4MnCl, optimized geometry, DFT PBE; magnetization = 4.0 μB/cell; formation energy from raw total energies = 56.02 kJ per mole of atoms; D(E_F) = 8.85 states/eV per cell
1.0
4.5507 -4.5349 0.4845
-1.6322 -6.2307 -0.1517
1.5153 -3.6033 -5.1215
Y Mn Cl
4 1 1
direct
0.8812 0.3729 0.3729
0.3729 0.3729 0.8812
0.3729 0.8812 0.3729
0.3729 0.3729 0.3729
0.0000 0.0000 0.0000
0.7500 0.7500 0.7500


Record 4
YMn2Cl, optimized geometry, DFT PBE; energy above the most stable polymorph in this dataset = 2.75 eV/f.u.; magnetization = 3.8 μB/cell; formation energy from raw total energies = 41.74 kJ per mole of atoms; D(E_F) = 9.86 states/eV per cell
1.0
-2.7311 -1.3876 -3.2251
2.8999 -3.1950 -1.0811
-3.2718 -6.9821 2.7072
Y Mn Cl
2 4 2
direct
0.0000 0.0000 0.0000
0.7500 0.2500 0.5000
0.3746 0.1250 0.2500
0.3754 0.6250 0.2500
0.3750 0.6254 0.7500
0.8750 0.6246 0.7500
0.5000 0.5000 0.0000
0.2500 0.7500 0.5000


Record 5
YMn2Cl, optimized geometry, DFT PBE; energy above the most stable polymorph in this dataset = 2.21 eV/f.u.; magnetization = 7.7 μB/cell; formation energy from raw total energies = 28.75 kJ per mole of atoms; D(E_F) = 4.80 states/eV per cell
1.0
-0.6071 -4.0107 -2.6794
-0.6144 -4.3051 2.1731
-4.3346 -2.1968 -0.1397
Cl Mn Y
1 2 1
direct
0.5000 0.5000 0.5000
0.0000 0.0000 0.0000
0.7500 0.7500 0.7500
0.2500 0.2500 0.2500


Record 6
YMn2Cl, optimized geometry, DFT PBE; energy above the most stable polymorph in this dataset = 1.08 eV/f.u.; magnetization = 7.3 μB/cell; formation energy from raw total energies = 1.55 kJ per mole of atoms; D(E_F) = 4.03 states/eV per cell
1.0
-5.5795 0.8277 2.0047
-5.2663 -2.2943 1.6842
-0.4115 -0.5225 4.6876
Cl Mn Y
1 2 1
direct
0.2500 0.2500 0.2500
0.9938 0.9938 0.0062
0.5062 0.5062 0.4938
0.7500 0.7500 0.7500


Record 7
YMn2Cl, optimized geometry, DFT PBE; energy above the most stable polymorph in this dataset = 3.43 eV/f.u.; magnetization = 8.0 μB/cell; formation energy from raw total energies = 58.26 kJ per mole of atoms; D(E_F) = 3.66 states/eV per cell
1.0
-2.8362 -3.9131 -1.0582
-1.5874 -2.9594 3.6330
-4.7805 -0.0072 1.2740
Y Mn Cl
1 2 1
direct
0.5000 0.5000 0.5000
0.2500 0.2500 0.2500
0.7500 0.7500 0.7500
0.0000 0.0000 0.0000


Record 8
YMn3Cl, optimized geometry, DFT PBE; energy above the most stable polymorph in this dataset = 0.00 eV/f.u.; magnetization = 7.3 μB/cell; formation energy from raw total energies = 41.72 kJ per mole of atoms; D(E_F) = 3.22 states/eV per cell
1.0
-3.0106 2.2911 -2.2411
-3.1232 -1.4072 2.7570
0.7193 3.4794 2.5907
Y Mn Cl
1 3 1
direct
0.5000 0.5000 0.5000
0.0000 0.5000 0.0000
0.0000 0.0000 0.5000
0.5000 0.0000 0.0000
0.0000 0.0000 0.0000


Record 9
YMn2Cl, optimized geometry, DFT PBE; energy above the most stable polymorph in this dataset = 0.00 eV/f.u.; magnetization = 1.4 μB/cell; formation energy from raw total energies = -24.45 kJ per mole of atoms; D(E_F) = 1.17 states/eV per cell
1.0
-1.5915 -2.0152 1.9583
2.7880 -1.4199 0.8002
0.9976 5.7505 6.7283
Cl Mn Y
1 2 1
direct
0.5000 0.5000 0.6687
0.0000 0.0000 0.1173
0.5000 0.5000 0.2377
0.0000 0.0000 0.4763


Record 10
YMn2Cl, optimized geometry, DFT PBE; energy above the most stable polymorph in this dataset = 0.37 eV/f.u.; magnetization = 0.2 μB/cell; formation energy from raw total energies = -15.63 kJ per mole of atoms; D(E_F) = 4.00 states/eV per cell
1.0
8.2477 0.1414 0.0850
7.3442 3.7559 0.0850
7.3442 1.8357 3.2778
Cl Mn Y
1 2 1
direct
0.7731 0.7731 0.7731
0.9522 0.9522 0.9522
0.2608 0.2608 0.2608
0.5139 0.5139 0.5139


Record 11
YMn2ZnCl, optimized geometry, DFT PBE; magnetization = 8.2 μB/cell; formation energy from raw total energies = 74.28 kJ per mole of atoms; D(E_F) = 4.96 states/eV per cell
1.0
-0.8063 1.0761 5.4685
-0.0862 -5.0569 0.9824
5.5726 0.0623 0.8094
Y Zn Mn Cl
1 1 2 1
direct
0.0000 0.0000 0.0000
0.5000 0.5000 0.5000
0.0000 0.0000 0.5000
0.5000 0.0000 0.0000
0.0000 0.5000 0.0000


Record 12
MnZn2Cl, optimized geometry, DFT PBE; energy above the most stable polymorph in this dataset = 1.78 eV/f.u.; magnetization = 3.9 μB/cell; formation energy from raw total energies = 35.75 kJ per mole of atoms; D(E_F) = 1.96 states/eV per cell
1.0
-3.7068 -2.8152 -0.0870
-1.4580 -1.8049 -4.0361
0.5477 -4.5442 -0.8507
Cl Mn Zn
1 1 2
direct
0.5000 0.5000 0.5000
0.7500 0.7500 0.7500
0.0000 0.0000 0.0000
0.2500 0.2500 0.2500